No. 1
Np2Sb3Au3 | PBE | optimized geometry

Properties
- total energy (eV per cell) = -48.4
- uncorrected formation energy (eV per atom) = -0.043

Geometry as POSCAR:
```
Np2Sb3Au3
1.0
7.4873 0.0000 0.0000
-3.7437 6.4842 0.0000
0.0000 0.0000 4.3612
Np Sb Au
2 3 3
Direct
0.3333 0.6667 0.0000
0.6667 0.3333 0.0000
0.0000 0.5048 0.5000
0.4952 0.4952 0.5000
0.5048 0.0000 0.5000
0.0000 0.2167 0.0000
0.2167 0.0000 0.0000
0.7833 0.7833 0.0000
```

No. 2
NpSbAu4 | PBE | optimized geometry

Properties
- total energy (eV per cell) = -30.9
- uncorrected formation energy (eV per atom) = -0.129

Geometry as POSCAR:
```
NpSbAu4
1.0
4.8918 0.0000 0.0000
-2.4459 4.2364 0.0000
0.0000 0.0000 6.1946
Np Sb Au
1 1 4
Direct
0.0000 0.0000 0.0000
0.0000 0.0000 0.5000
0.3333 0.6667 0.2455
0.3333 0.6667 0.7545
0.6667 0.3333 0.2455
0.6667 0.3333 0.7545
```

No. 3
NpSbAu2 | PBE | optimized geometry

Properties
- total energy (eV per cell) = -24.0
- uncorrected formation energy (eV per atom) = -0.091

Geometry as POSCAR:
```
NpSbAu2
1.0
3.8469 0.0000 0.0000
0.0000 3.8469 0.0000
0.0000 0.0000 6.2596
Np Sb Au
1 1 2
Direct
0.0000 0.0000 0.0000
0.0000 0.0000 0.5000
0.5000 0.5000 0.2450
0.5000 0.5000 0.7550
```